A geometry-optimized Ca2TaHg structure, computed with PBE.

POSCAR file:
```
Ca2TaHg
1.0
4.5504 0.0000 0.0000
0.0000 4.5504 0.0000
0.0000 0.0000 4.8180
Ca Ta Hg
2 1 1
Direct
0.0000 0.5000 0.0000
0.5000 0.0000 0.0000
0.0000 0.0000 0.5000
0.5000 0.5000 0.5000
```

Summary:
Calculated density (g/cm³): 7.68
Space-group type: P4/mmm
M_tot (μB/cell): 1.34
E_tot (eV per atom): -3.55
Energy relative to the elements (eV per atom): 0.489
Crystal system: tetragonal